This record from Alexandria via LeMat-Bulk describes crystalline Pm3Y2Er8 at its relaxed geometry. The functional is PBE.

Summary:
Calculated formation energy in eV/f.u.: 3.08
Calculated density in g/cm3: 7.4
Space group: C2/m (12)

The structure in POSCAR format:
```
Pm3Y2Er8
1.0
0.258 1.117 6.846
1.283 -7.355 5.810
8.126 -1.520 4.600
Pm Er Y
3 8 2
direct
0.000 0.177 0.823 Pm
0.500 0.000 0.000 Pm
0.000 0.823 0.177 Pm
0.438 0.800 0.437 Er
0.988 0.808 0.808 Er
0.930 0.418 0.418 Er
0.562 0.563 0.200 Er
0.562 0.200 0.563 Er
0.012 0.192 0.192 Er
0.070 0.582 0.582 Er
0.438 0.437 0.800 Er
0.513 0.781 0.781 Y
0.487 0.219 0.219 Y
```

This record from Alexandria via LeMat-Bulk describes crystalline TbSmEuLu at its relaxed geometry. The functional is PBE.

Summary:
Calculated formation energy in eV/f.u.: 0.61
Calculated density in g/cm3: 7.9
Space group: F-43m (216)

The structure in POSCAR format:
```
TbSmEuLu
1.0
-5.099 -2.573 -0.635
-0.736 -3.942 -4.116
-0.618 -5.538 1.403
Eu Tb Sm Lu
1 1 1 1
direct
0.000 0.000 0.000 Eu
0.750 0.750 0.750 Tb
0.250 0.250 0.250 Sm
0.500 0.500 0.500 Lu
```